w | A relaxed Zr3BiSb crystal, computed with PBE-GGA.

theoretical density: 6.7 Mg/m³
volume: 30.12 Å³/atom
space group: Pm-3m (221)

Cell lengths 5.3202, 5.3202, 5.3202 Å; angles 90.00, 90.00, 90.00 degrees
Closest atoms and distances in Å follow each position.
Fractional positions:
1 Zr 0.0000 0.5000 0.0000  2 Sb 2.66
2 Zr 0.0000 0.0000 0.5000  2 Sb 2.66
3 Zr 0.5000 0.0000 0.0000  2 Sb 2.66
4 Bi 0.5000 0.5000 0.5000  12 Zr 3.76
5 Sb 0.0000 0.0000 0.0000  6 Zr 2.66

=====

x | A relaxed Zr3BiSb crystal, computed with PBE-GGA.

theoretical density: 8.1 Mg/m³
volume: 24.70 Å³/atom
space group: Pm (6)

Cell lengths 3.8674, 8.2865, 8.0211 Å; angles 73.89, 90.00, 90.00 degrees
Closest atoms and distances in Å follow each position.
Fractional positions:
1 Sb 0.3633 0.0514 0.8127  8 Zr 2.91-3.09
2 Sb 0.3632 0.6787 0.2187  6 Zr 2.89-2.98
3 Zr 0.8633 0.0561 0.5282  3 Zr 2.84-3.16, 2 Sb 2.98, 1 Bi 3.02
4 Zr 0.8632 0.3017 0.8494  3 Bi 2.89-3.04, 2 Sb 2.91
5 Zr 0.8632 0.7751 0.9367  4 Sb 2.91-2.95, 2 Bi 3.04
6 Zr 0.8631 0.7357 0.4641  1 Zr 2.84, 2 Sb 2.89, 2 Bi 3.01
7 Zr 0.3632 0.3636 0.5017  2 Sb 2.95-3.06, 2 Zr 3.16, 3 Bi 3.16-3.17
8 Zr 0.3633 0.0434 0.1999  2 Sb 2.98-3.09, 2 Bi 3.12, 2 Zr 3.29
9 Bi 0.3632 0.5954 0.7559  7 Zr 3.01-3.17
10 Bi 0.8633 0.3404 0.1970  6 Zr 2.89-3.16

=====

Energy comparison, zero being the most stable, in meV/atom: w 927; x 0.